# ErAgSnIr (PBE-GGA, relaxed)
data_ErAgSnIr
_space_group_name_H-M_alt 'F -4 3 m'
_space_group_IT_number 216
_space_group_name_Hall 'F -4 2 3'
_cell_length_a 6.802
_cell_length_b 6.802
_cell_length_c 6.802
_cell_angle_alpha 90.00
_cell_angle_beta 90.00
_cell_angle_gamma 90.00
loop_
_atom_site_label
_atom_site_type_symbol
_atom_site_fract_x
_atom_site_fract_y
_atom_site_fract_z
Er1 Er 0.000 0.000 0.000
Ag1 Ag 0.250 0.250 0.250
Sn1 Sn 0.000 0.000 0.500
Ir1 Ir 0.250 0.250 0.750
# Final energy in eV/atom: -5.51
# Formation enthalpy at 0 K in eV per formula unit: -1.779
# Volume in Å³/cell: 314.76


# ErTiAgIr (PBE-GGA, relaxed)
data_ErTiAgIr
_space_group_name_H-M_alt 'F -4 3 m'
_space_group_IT_number 216
_space_group_name_Hall 'F -4 2 3'
_cell_length_a 6.683
_cell_length_b 6.683
_cell_length_c 6.683
_cell_angle_alpha 90.00
_cell_angle_beta 90.00
_cell_angle_gamma 90.00
loop_
_atom_site_label
_atom_site_type_symbol
_atom_site_fract_x
_atom_site_fract_y
_atom_site_fract_z
Er1 Er 0.000 0.000 0.000
Ti1 Ti 0.000 0.000 0.500
Ag1 Ag 0.250 0.250 0.250
Ir1 Ir 0.250 0.250 0.750
# Final energy in eV/atom: -6.42
# Formation enthalpy at 0 K in eV per formula unit: -1.523
# Volume in Å³/cell: 298.42


# KErAg2 (PBE-GGA, relaxed)
data_KErAg2
_space_group_name_H-M_alt 'P 4/m m m'
_space_group_IT_number 123
_space_group_name_Hall '-P 4 2'
_cell_length_a 3.723
_cell_length_b 3.723
_cell_length_c 8.216
_cell_angle_alpha 90.00
_cell_angle_beta 90.00
_cell_angle_gamma 90.00
loop_
_atom_site_label
_atom_site_type_symbol
_atom_site_fract_x
_atom_site_fract_y
_atom_site_fract_z
K1 K 0.000 0.000 0.000
Er1 Er 0.000 0.000 0.500
Ag1 Ag 0.500 0.500 0.315
# Final energy in eV/atom: -2.96
# Formation enthalpy at 0 K in eV per formula unit: -0.472
# Volume in Å³/cell: 113.86


# KEr2AgO4 (PBE-GGA, relaxed)
data_KEr2AgO4
_space_group_name_H-M_alt 'C m c m'
_space_group_IT_number 63
_space_group_name_Hall '-C 2c 2'
_cell_length_a 3.527
_cell_length_b 11.902
_cell_length_c 12.269
_cell_angle_alpha 90.00
_cell_angle_beta 90.00
_cell_angle_gamma 90.00
loop_
_atom_site_label
_atom_site_type_symbol
_atom_site_fract_x
_atom_site_fract_y
_atom_site_fract_z
K1 K 0.000 0.065 0.250
Er1 Er 0.000 0.367 0.062
Ag1 Ag 0.000 0.228 0.750
O1 O 0.000 0.000 0.000
O2 O 0.000 0.247 0.580
O3 O 0.000 0.413 0.250
# Final energy in eV/atom: -6.46
# Raw formation energy in eV/f.u.: -18.80
# Volume in Å³/cell: 515.05


# KErAgS2 (PBE-GGA, relaxed)
data_KErAgS2
_space_group_name_H-M_alt 'P 1 2/c 1'
_space_group_IT_number 13
_cell_length_a 7.369
_cell_length_b 5.023
_cell_length_c 7.606
_cell_angle_alpha 90.00
_cell_angle_beta 99.04
_cell_angle_gamma 90.00
loop_
_space_group_symop_operation_xyz
'x,y,z'
'-x,-y,-z'
'-x,y,-z+1/2'
'x,-y,z+1/2'
loop_
_atom_site_label
_atom_site_type_symbol
_atom_site_fract_x
_atom_site_fract_y
_atom_site_fract_z
K1 K 0.000 0.136 0.250
Er1 Er 0.500 0.494 0.750
Ag1 Ag 0.500 0.000 0.000
S1 S 0.258 0.377 0.964
# Final energy in eV/atom: -4.45
# Raw formation energy in eV/f.u.: -5.50
# Volume in Å³/cell: 278.06


# KEr2Ag2Se4 (PBE-GGA, relaxed)
data_KEr2Ag2Se4
_space_group_name_H-M_alt 'C 1 2/m 1'
_space_group_IT_number 12
_cell_length_a 15.058
_cell_length_b 3.862
_cell_length_c 8.366
_cell_angle_alpha 90.00
_cell_angle_beta 116.35
_cell_angle_gamma 90.00
loop_
_space_group_symop_operation_xyz
'x,y,z'
'-x,-y,-z'
'-x,y,-z'
'x,-y,z'
'x+1/2,y+1/2,z'
'-x+1/2,-y+1/2,-z'
'-x+1/2,y+1/2,-z'
'x+1/2,-y+1/2,z'
loop_
_atom_site_label
_atom_site_type_symbol
_atom_site_fract_x
_atom_site_fract_y
_atom_site_fract_z
K1 K 0.000 0.000 0.000
Er1 Er 0.127 0.000 0.558
Ag1 Ag 0.196 0.500 0.043
Se1 Se 0.030 0.500 0.709
Se2 Se 0.219 0.000 0.305
# Final energy in eV/atom: -4.40
# Raw formation energy in eV/f.u.: -9.71
# Volume in Å³/cell: 436.00